[1]
A plane-wave DFT calculation with PBE was carried out for a relaxed structure of La2NdHo3Er6.

Calculated values
Calculated formation energy (eV/atom): 0.025
Energy (eV/atom): -4.620

a = 6.1860 Å, b = 6.1860 Å, c = 11.7675 Å
α = 95.02°, β = 95.02°, γ = 119.98°
Fractional positions:
La: 0.1667 0.8333 0.0000
La: 0.8333 0.1667 0.0000
Nd: 0.5000 0.5000 0.0000
Ho: 0.0000 0.0000 0.5000
Ho: 0.3335 0.6665 0.5000
Ho: 0.6665 0.3335 0.5000
Er: 0.0813 0.4141 0.7445
Er: 0.2531 0.2531 0.2554
Er: 0.4141 0.0813 0.7445
Er: 0.5859 0.9187 0.2555
Er: 0.7469 0.7469 0.7446
Er: 0.9187 0.5859 0.2555

***

[2]
A plane-wave DFT calculation with PBE was carried out for a relaxed structure of LaNdHo2Er4.

Calculated values
Calculated formation energy (eV/atom): 0.423
Energy (eV/atom): -4.214

a = 9.4894 Å, b = 9.4894 Å, c = 6.7883 Å
α = 110.86°, β = 110.86°, γ = 76.87°
Fractional positions:
La: 0.0000 0.0000 0.0000
La: 0.0000 0.0000 0.5000
Nd: 0.0000 0.5000 0.0000
Nd: 0.5000 0.0000 0.0000
Ho: 0.0000 0.5000 0.5000
Ho: 0.5000 0.0000 0.5000
Ho: 0.5000 0.5000 0.0000
Ho: 0.5000 0.5000 0.5000
Er: 0.2522 0.7439 0.7480
Er: 0.2529 0.2529 0.2536
Er: 0.2529 0.2529 0.7513
Er: 0.2561 0.7478 0.2520
Er: 0.7439 0.2522 0.7480
Er: 0.7471 0.7471 0.2487
Er: 0.7471 0.7471 0.7464
Er: 0.7478 0.2561 0.2520

***

[3]
A plane-wave DFT calculation with PBE was carried out for a relaxed structure of La3NdHo6Er2.

Calculated values
Calculated formation energy (eV/atom): 0.022
Energy (eV/atom): -4.657

a = 6.2239 Å, b = 6.2239 Å, c = 11.8491 Å
α = 95.02°, β = 95.02°, γ = 120.00°
Fractional positions:
La: 0.0000 0.0000 0.0000
La: 0.3332 0.6668 0.0000
La: 0.6668 0.3332 0.0000
Nd: 0.5000 0.5000 0.5000
Ho: 0.0844 0.4186 0.2550
Ho: 0.2473 0.2473 0.7452
Ho: 0.4186 0.0844 0.2550
Ho: 0.5814 0.9156 0.7450
Ho: 0.7527 0.7527 0.2548
Ho: 0.9156 0.5814 0.7450
Er: 0.1668 0.8332 0.5000
Er: 0.8332 0.1668 0.5000